No. 1
Density functional theory data (GGA-PBE) for a geometry-optimized Ni2POs structure.

Cell lengths 4.472, 4.472, 4.419 Å; angles 67.16, 67.16, 37.06 degrees
Element x y z (fractional)
Ni: 0.965 0.965 0.971
Ni: 0.736 0.736 0.768
P: 0.266 0.266 0.343
Os: 0.533 0.533 0.417

Output
* SG: Cm (8)
* excess energy over the best structure of this formula in the dataset: 0 meV/atom
* ΔH_f (0 K): -0.096 eV/atom



No. 2
Density functional theory data (GGA-PBE) for a geometry-optimized YEr3In structure.

Cell lengths 6.451, 9.762, 9.762 Å; angles 83.55, 79.47, 79.47 degrees
Element x y z (fractional)
Y: 0.536 0.539 0.670
Y: 0.964 0.330 0.461
Y: 0.464 0.461 0.330
Y: 0.036 0.670 0.539
Er: 0.135 0.731 0.875
Er: 0.365 0.125 0.269
Er: 0.865 0.269 0.125
Er: 0.635 0.875 0.731
Er: 0.362 0.377 0.999
Er: 0.138 0.001 0.623
Er: 0.638 0.623 0.001
Er: 0.862 0.999 0.377
Er: 0.015 0.401 0.791
Er: 0.485 0.209 0.599
Er: 0.985 0.599 0.209
Er: 0.515 0.791 0.401
In: 0.750 0.911 0.089
In: 0.250 0.089 0.911
In: 0.750 0.148 0.852
In: 0.250 0.852 0.148

Output
* SG: C2/c (15)
* excess energy over the best structure of this formula in the dataset: 95 meV/atom
* ΔH_f (0 K): -0.089 eV/atom



No. 3
Density functional theory data (GGA-PBE) for a geometry-optimized Rb2Ga2Pb structure.

Cell lengths 7.667, 7.667, 6.048 Å; angles 90.00, 90.00, 90.00 degrees
Element x y z (fractional)
Pb: 0.000 0.000 0.000
Pb: 0.500 0.500 0.000
Ga: 0.380 0.880 0.000
Ga: 0.880 0.620 0.000
Ga: 0.620 0.120 0.000
Ga: 0.120 0.380 0.000
Rb: 0.188 0.688 0.500
Rb: 0.688 0.812 0.500
Rb: 0.812 0.312 0.500
Rb: 0.312 0.188 0.500

Output
* SG: P4/mbm (127)
* excess energy over the best structure of this formula in the dataset: 0 meV/atom
* ΔH_f (0 K): 0.009 eV/atom



No. 4
Density functional theory data (GGA-PBE) for a geometry-optimized La2Co2P2N structure.

Cell lengths 3.780, 5.846, 6.165 Å; angles 69.10, 72.15, 71.14 degrees
Element x y z (fractional)
La: 0.554 0.185 0.706
La: 0.446 0.815 0.294
Co: 0.197 0.686 0.920
Co: 0.803 0.314 0.080
P: 0.190 0.361 0.259
P: 0.810 0.639 0.741
N: 0.000 0.000 0.000

Output
* SG: C2/m (12)
* uncorrected formation energy: -1.0398 eV/atom



No. 5
Density functional theory data (GGA-PBE) for a geometry-optimized PaTcH3 structure.

Cell lengths 4.866, 4.181, 4.261 Å; angles 59.93, 51.96, 88.99 degrees
Element x y z (fractional)
Pa: 0.401 0.315 0.702
Tc: 0.901 0.818 0.703
H: 0.696 0.935 0.459
H: 0.902 0.257 0.702
H: 0.107 0.700 0.946

Output
* SG: P1 (1)
* excess energy over the best structure of this formula in the dataset: 0 meV/atom



No. 6
Density functional theory data (GGA-PBE) for a geometry-optimized Pu3Si4Ge structure.

Cell lengths 4.169, 6.311, 7.651 Å; angles 114.35, 105.81, 90.00 degrees
Element x y z (fractional)
Pu: 0.174 0.174 0.348
Pu: 0.826 0.826 0.652
Pu: 0.000 0.500 0.000
Si: 0.373 0.562 0.745
Si: 0.627 0.438 0.255
Si: 0.627 0.817 0.255
Si: 0.373 0.183 0.745
Ge: 0.500 0.000 0.000

Output
* SG: Immm (71)
* uncorrected formation energy: -0.1430 eV/atom



No. 7
Density functional theory data (GGA-PBE) for a geometry-optimized PmAlZnGa2 structure.

Cell lengths 4.181, 4.181, 6.281 Å; angles 109.44, 109.44, 90.00 degrees
Element x y z (fractional)
Pm: 0.000 0.000 0.000
Al: 0.750 0.250 0.500
Zn: 0.250 0.750 0.500
Ga: 0.612 0.612 0.223
Ga: 0.388 0.388 0.777

Output
* SG: I-4m2 (119)
* ΔH_f (0 K): -0.460 eV/atom



No. 8
Density functional theory data (GGA-PBE) for a geometry-optimized SrPr8Sm4 structure.

Cell lengths 5.250, 6.451, 17.067 Å; angles 108.28, 81.15, 65.99 degrees
Element x y z (fractional)
Sr: 0.000 0.000 0.000
Pr: 0.456 0.778 0.311
Pr: 0.544 0.222 0.689
Pr: 0.610 0.696 0.083
Pr: 0.390 0.304 0.917
Pr: 0.928 0.532 0.613
Pr: 0.072 0.468 0.387
Pr: 0.838 0.087 0.237
Pr: 0.162 0.913 0.763
Sm: 0.310 0.842 0.537
Sm: 0.690 0.158 0.463
Sm: 0.786 0.591 0.838
Sm: 0.214 0.409 0.162

Output
* SG: C2/m (12)
* ΔH_f (0 K): 0.051 eV/atom



No. 9
Density functional theory data (GGA-PBE) for a geometry-optimized Sr2EuPb structure.

Cell lengths 4.015, 4.015, 10.522 Å; angles 90.00, 90.00, 90.00 degrees
Element x y z (fractional)
Pb: 0.500 0.500 0.000
Eu: 0.500 0.500 0.500
Sr: 0.000 0.000 0.800
Sr: 0.000 0.000 0.200

Output
* SG: P4/mmm (123)
* excess energy over the best structure of this formula in the dataset: 49 meV/atom
* ΔH_f (0 K): -0.255 eV/atom



No. 10
Density functional theory data (GGA-PBE) for a geometry-optimized TaRu structure.

Cell lengths 7.021, 7.021, 7.021 Å; angles 90.00, 90.00, 90.00 degrees
Element x y z (fractional)
Ta: 0.250 0.500 0.000
Ta: 0.750 0.500 0.000
Ta: 0.500 0.000 0.250
Ta: 0.500 0.000 0.750
Ta: 0.000 0.250 0.500
Ta: 0.000 0.750 0.500
Ru: 0.250 0.000 0.500
Ru: 0.750 0.000 0.500
Ru: 0.000 0.500 0.250
Ru: 0.000 0.500 0.750
Ru: 0.500 0.250 0.000
Ru: 0.500 0.750 0.000

Output
* SG: Pm-3n (223)
* ΔH_f (0 K): 1.439 eV/atom



No. 11
Density functional theory data (GGA-PBE) for a geometry-optimized Ac6BiPb2Se3 structure.

Cell lengths 4.741, 9.297, 10.429 Å; angles 101.24, 103.14, 90.00 degrees
Element x y z (fractional)
Ac: 0.330 0.919 0.660
Ac: 0.666 0.586 0.331
Ac: 0.670 0.081 0.340
Ac: 0.999 0.258 0.998
Ac: 0.001 0.742 0.002
Ac: 0.334 0.414 0.669
Bi: 0.500 0.000 0.000
Pb: 0.834 0.668 0.668
Pb: 0.166 0.332 0.332
Se: 0.500 0.500 0.000
Se: 0.835 0.167 0.669
Se: 0.165 0.833 0.331

Output
* SG: C2/m (12)
* uncorrected formation energy: -1.2735 eV/atom



No. 12
Density functional theory data (GGA-PBE) for a geometry-optimized Cu2SiP structure.

Cell lengths 4.714, 4.714, 4.714 Å; angles 134.09, 134.13, 66.92 degrees
Element x y z (fractional)
Cu: 0.000 0.000 0.000
Cu: 0.750 0.250 0.500
P: 0.500 0.500 0.000
Si: 0.250 0.750 0.500

Output
* SG: I-4m2 (119)
* uncorrected formation energy: 0.2587 eV/atom